The following is a DFT calculation (PBE) of a relaxed structure of Tb3ErPd2.

- Formation energy from the elements: -0.59 eV/atom
- Total energy: -5.40 eV/atom

```
data_Tb3ErPd2
_space_group_name_H-M_alt 'P m c 21'
_space_group_IT_number 26
_cell_length_a 3.7645
_cell_length_b 9.7993
_cell_length_c 8.5133
_cell_angle_alpha 90.00
_cell_angle_beta 90.00
_cell_angle_gamma 90.00
loop_
_space_group_symop_operation_xyz
'x,y,z'
'-x,-y,z+1/2'
'-x,y,z'
'x,-y,z+1/2'
loop_
_atom_site_label
_atom_site_fract_x
_atom_site_fract_y
_atom_site_fract_z
Tb1 0.0000 0.0655 0.0000
Tb2 0.0000 0.2847 0.3405
Tb3 0.5000 0.2180 0.6794
Er1 0.5000 0.4364 0.0190
Pd1 0.0000 0.4302 0.7466
Pd2 0.5000 0.0715 0.2737
```